Record 1
{
  "formula": "Ni5Se",
  "functional": "GGA-PBE",
  "state": "optimized geometry",
  "lattice": [[2.196, -3.803, 0.000], [2.196, 3.803, 0.000], [0.000, 0.000, 4.160]],
  "species": ["Ni", "Ni", "Ni", "Ni", "Ni", "Se"],
  "frac_coords": [[0.340, 0.340, 0.000], [0.333, 0.667, 0.500], [0.000, 0.660, 0.000], [0.660, 0.000, 0.000], [0.667, 0.333, 0.500], [0.000, 0.000, 0.500]],
  "raw_formation_energy_ev_per_atom": 0.06,
  "e_tot_ry_per_atom": -0.393
}

Record 2
{
  "formula": "Ni2Se",
  "functional": "GGA-PBE",
  "state": "optimized geometry",
  "lattice": [[4.627, -1.073, -1.327], [4.663, 0.004, 1.607], [2.699, -5.464, 1.973]],
  "species": ["Ni", "Ni", "Ni", "Ni", "Se", "Se"],
  "frac_coords": [[0.355, 0.355, 0.013], [0.657, 0.657, 0.367], [0.645, 0.645, 0.987], [0.343, 0.343, 0.633], [0.063, 0.063, 0.714], [0.937, 0.937, 0.286]],
  "raw_formation_energy_ev_per_atom": 0.05,
  "e_tot_ry_per_atom": -0.365
}

Record 3
{
  "formula": "Ni3Se",
  "functional": "GGA-PBE",
  "state": "optimized geometry",
  "lattice": [[-2.789, -0.235, -3.463], [1.929, -6.162, -1.136], [-4.996, -2.335, 4.182]],
  "species": ["Ni", "Ni", "Ni", "Ni", "Ni", "Ni", "Ni", "Ni", "Ni", "Ni", "Ni", "Ni", "Se", "Se", "Se", "Se"],
  "frac_coords": [[0.428, 0.816, 0.437], [0.913, 0.969, 0.250], [0.928, 0.684, 0.563], [0.572, 0.184, 0.937], [0.428, 0.816, 0.063], [0.928, 0.684, 0.937], [0.587, 0.469, 0.250], [0.572, 0.184, 0.563], [0.072, 0.316, 0.437], [0.413, 0.531, 0.750], [0.087, 0.031, 0.750], [0.072, 0.316, 0.063], [0.417, 0.122, 0.250], [0.583, 0.878, 0.750], [0.917, 0.378, 0.750], [0.083, 0.622, 0.250]],
  "raw_formation_energy_ev_per_atom": 0.07,
  "relative_energy_ev_per_fu": 0.22,
  "e_tot_ry_per_atom": -0.378
}

Record 4
{
  "formula": "Ni3Se",
  "functional": "GGA-PBE",
  "state": "optimized geometry",
  "lattice": [[7.626, 0.010, 0.006], [7.098, 2.789, 0.006], [7.098, 1.349, 2.441]],
  "species": ["Se", "Ni", "Ni", "Ni"],
  "frac_coords": [[0.000, 0.000, 0.000], [0.251, 0.251, 0.251], [0.749, 0.749, 0.749], [0.500, 0.500, 0.500]],
  "raw_formation_energy_ev_per_atom": 0.27,
  "relative_energy_ev_per_fu": 1.03,
  "e_tot_ry_per_atom": -0.363
}

Copy entry 4 word for word.
{
  "formula": "Ni3Se",
  "functional": "GGA-PBE",
  "state": "optimized geometry",
  "lattice": [[7.626, 0.010, 0.006], [7.098, 2.789, 0.006], [7.098, 1.349, 2.441]],
  "species": ["Se", "Ni", "Ni", "Ni"],
  "frac_coords": [[0.000, 0.000, 0.000], [0.251, 0.251, 0.251], [0.749, 0.749, 0.749], [0.500, 0.500, 0.500]],
  "raw_formation_energy_ev_per_atom": 0.27,
  "relative_energy_ev_per_fu": 1.03,
  "e_tot_ry_per_atom": -0.363
}